(1)
The following is a DFT calculation (GGA-PBE) of a relaxed Cs2NaGaH6 crystal.

The structure in CIF format:
```
data_Cs2NaGaH6
_cell_length_a 8.589
_cell_length_b 8.589
_cell_length_c 8.589
_cell_angle_alpha 90.00
_cell_angle_beta 90.00
_cell_angle_gamma 90.00
_space_group_name_H-M_alt 'F m -3 m'
_space_group_IT_number 225
_space_group_name_Hall '-F 4 2 3'
loop_
_atom_site_label
_atom_site_type_symbol
_atom_site_fract_x
_atom_site_fract_y
_atom_site_fract_z
Cs1 Cs 0.250 0.250 0.250
Na1 Na 0.000 0.000 0.000
Ga1 Ga 0.000 0.000 0.500
H1 H 0.000 0.000 0.289
```

## Properties
- relative energy among the computed polymorphs (eV per atom) = 0.000


(2)
The following is a DFT calculation (GGA-PBE) of a relaxed K2TaRh crystal.

The structure in CIF format:
```
data_K2TaRh
_cell_length_a 3.026
_cell_length_b 6.130
_cell_length_c 4.866
_cell_angle_alpha 90.00
_cell_angle_beta 92.14
_cell_angle_gamma 90.00
_space_group_name_H-M_alt 'P 1 2/m 1'
_space_group_IT_number 10
loop_
_space_group_symop_operation_xyz
'x,y,z'
'-x,-y,-z'
'-x,y,-z'
'x,-y,z'
loop_
_atom_site_label
_atom_site_type_symbol
_atom_site_fract_x
_atom_site_fract_y
_atom_site_fract_z
K1 K 0.243 0.000 0.257
Ta1 Ta 0.500 0.500 0.000
Rh1 Rh 0.000 0.500 0.500
```

## Properties
- relative energy among the computed polymorphs (eV per atom) = 0.617
- density of states at the Fermi level (states/eV/cell) = 3.9
- formation enthalpy at 0 K (eV per atom) = 1.0090


(3)
The following is a DFT calculation (GGA-PBE) of a relaxed SmTlSn crystal.

The structure in CIF format:
```
data_SmTlSn
_cell_length_a 3.534
_cell_length_b 17.169
_cell_length_c 5.909
_cell_angle_alpha 90.00
_cell_angle_beta 90.00
_cell_angle_gamma 90.00
_space_group_name_H-M_alt 'C m c m'
_space_group_IT_number 63
_space_group_name_Hall '-C 2c 2'
loop_
_atom_site_label
_atom_site_type_symbol
_atom_site_fract_x
_atom_site_fract_y
_atom_site_fract_z
Sm1 Sm 0.000 0.165 0.250
Tl1 Tl 0.000 0.349 0.250
Sn1 Sn 0.000 0.000 0.000
```

## Properties
- relative energy among the computed polymorphs (eV per atom) = 0.285
- density of states at the Fermi level (states/eV/cell) = 8.2
- formation enthalpy at 0 K (eV per atom) = -0.1787


(4)
The following is a DFT calculation (GGA-PBE) of a relaxed KCd3F crystal.

The structure in CIF format:
```
data_KCd3F
_cell_length_a 6.810
_cell_length_b 6.810
_cell_length_c 6.810
_cell_angle_alpha 90.00
_cell_angle_beta 90.00
_cell_angle_gamma 90.00
_space_group_name_H-M_alt 'P m -3 m'
_space_group_IT_number 221
_space_group_name_Hall '-P 4 2 3'
loop_
_atom_site_label
_atom_site_type_symbol
_atom_site_fract_x
_atom_site_fract_y
_atom_site_fract_z
K1 K 0.000 0.000 0.000
Cd1 Cd 0.000 0.000 0.500
F1 F 0.500 0.500 0.500
```

## Properties
- relative energy among the computed polymorphs (eV per atom) = 0.496
- density of states at the Fermi level (states/eV/cell) = 95.5
- uncorrected formation energy (eV per atom) = 0.06


(5)
The following is a DFT calculation (GGA-PBE) of a relaxed CdCoSn2Ge crystal.

The structure in CIF format:
```
data_CdCoSn2Ge
_cell_length_a 5.067
_cell_length_b 5.067
_cell_length_c 4.469
_cell_angle_alpha 90.00
_cell_angle_beta 90.00
_cell_angle_gamma 90.00
_space_group_name_H-M_alt 'P 4/m m m'
_space_group_IT_number 123
_space_group_name_Hall '-P 4 2'
loop_
_atom_site_label
_atom_site_type_symbol
_atom_site_fract_x
_atom_site_fract_y
_atom_site_fract_z
Cd1 Cd 0.000 0.000 0.000
Co1 Co 0.500 0.500 0.500
Sn1 Sn 0.000 0.500 0.500
Ge1 Ge 0.500 0.500 0.000
```

## Properties
- density of states at the Fermi level (states/eV/cell) = 3.9
- formation enthalpy at 0 K (eV per atom) = 0.1090


Total magnetic moment? In order: 0.00; 0.45; 0.00; 0.05; 0.00 μB/f.u..